! AcNiS3 (PBE-GGA, optimized geometry); values from VASP
&SYSTEM
  ibrav = 0, nat = 5, ntyp = 3
/
ATOMIC_SPECIES
S 32.06 S.upf
Ni 58.69 Ni.upf
Ac 227.00 Ac.upf
ATOMIC_POSITIONS angstrom
S 2.301 0.000 0.000
S 0.000 0.000 2.301
S 0.000 2.301 0.000
Ni 0.000 0.000 0.000
Ac 2.301 2.301 2.301
CELL_PARAMETERS angstrom
4.603 0.000 0.000
0.000 4.603 0.000
0.000 0.000 4.603
! DOS(E_F)   1.969 states/eV/cell
! E   -27.88 eV/cell
! ρ   6.5 g cm⁻³
! Formation energy from raw total energies   -1.12 eV per atom
! Spin magnetization   0.00 μB/f.u.

---

! Ac4NiS7 (PBE-GGA, optimized geometry); values from VASP
&SYSTEM
  ibrav = 0, nat = 12, ntyp = 3
/
ATOMIC_SPECIES
Ac 227.00 Ac.upf
S 32.06 S.upf
Ni 58.69 Ni.upf
ATOMIC_POSITIONS angstrom
Ac 1.881 2.746 1.899
Ac 4.355 5.743 9.564
Ac 3.310 6.702 5.154
Ac 2.926 1.787 6.309
S 1.150 1.130 4.094
S 1.726 6.446 2.363
S 4.510 2.043 9.100
S 2.262 0.000 0.752
S 3.710 3.894 3.950
S 2.525 4.594 7.513
S 5.086 7.359 7.369
Ni 0.000 0.000 0.000
CELL_PARAMETERS angstrom
4.524 0.000 1.505
1.951 8.546 1.688
-0.239 -0.058 8.271
! DOS(E_F)   4.624 states/eV/cell
! E   -72.68 eV/cell
! ρ   6.1 g cm⁻³
! Formation energy from raw total energies   -1.80 eV per atom
! Spin magnetization   0.34 μB/f.u.

---

! Ac2NiS (PBE-GGA, optimized geometry); values from VASP
&SYSTEM
  ibrav = 0, nat = 8, ntyp = 3
/
ATOMIC_SPECIES
Ac 227.00 Ac.upf
S 32.06 S.upf
Ni 58.69 Ni.upf
ATOMIC_POSITIONS angstrom
Ac 0.985 -1.673 7.557
Ac 0.046 0.433 1.885
Ac -1.935 0.911 5.573
Ac -0.996 -1.195 11.245
S -1.472 -0.128 8.371
S 0.522 -0.634 4.759
Ni -2.527 2.238 2.000
Ni 1.576 -3.000 11.130
CELL_PARAMETERS angstrom
-0.799 3.939 1.595
-4.068 -0.955 0.319
3.917 -3.746 11.216
! DOS(E_F)   6.764 states/eV/cell
! E   -44.93 eV/cell
! ρ   8.1 g cm⁻³
! Energy above the lowest structure with this stoichiometry   0 meV/atom
! Formation energy from raw total energies   -1.09 eV per atom
! Spin magnetization   0.00 μB/f.u.

---

! Ac2NiS (PBE-GGA, optimized geometry); values from VASP
&SYSTEM
  ibrav = 0, nat = 4, ntyp = 3
/
ATOMIC_SPECIES
Ac 227.00 Ac.upf
Ni 58.69 Ni.upf
S 32.06 S.upf
ATOMIC_POSITIONS angstrom
Ac -0.297 -5.225 2.272
Ac -0.095 -1.675 0.728
Ni 0.478 -1.050 -2.352
S 0.282 -4.500 -0.852
CELL_PARAMETERS angstrom
-2.095 -1.118 -2.845
3.051 -0.982 -1.860
-0.393 -6.900 3.000
! DOS(E_F)   3.602 states/eV/cell
! E   -21.42 eV/cell
! ρ   8.7 g cm⁻³
! Energy above the lowest structure with this stoichiometry   261 meV/atom
! Formation energy from raw total energies   -0.82 eV per atom
! Spin magnetization   0.00 μB/f.u.

---

! Ac2NiS (PBE-GGA, optimized geometry); values from VASP
&SYSTEM
  ibrav = 0, nat = 4, ntyp = 3
/
ATOMIC_SPECIES
Ac 227.00 Ac.upf
S 32.06 S.upf
Ni 58.69 Ni.upf
ATOMIC_POSITIONS angstrom
Ac -1.015 -1.264 2.526
Ac -3.268 -3.539 7.980
S -2.142 -2.401 5.253
Ni 0.000 0.000 0.000
CELL_PARAMETERS angstrom
-2.290 -3.426 0.881
1.494 -2.906 2.661
-3.487 1.529 6.963
! DOS(E_F)   1.179 states/eV/cell
! E   -22.31 eV/cell
! ρ   7.8 g cm⁻³
! Energy above the lowest structure with this stoichiometry   40 meV/atom
! Formation energy from raw total energies   -1.04 eV per atom
! Spin magnetization   0.00 μB/f.u.

---

! Ac2ScNiS5 (PBE-GGA, optimized geometry); values from VASP
&SYSTEM
  ibrav = 0, nat = 18, ntyp = 4
/
ATOMIC_SPECIES
S 32.06 S.upf
Ni 58.69 Ni.upf
Ac 227.00 Ac.upf
Sc 44.96 Sc.upf
ATOMIC_POSITIONS angstrom
S 1.986 3.214 10.550
S 0.000 5.127 8.080
S 0.000 0.485 0.171
S 1.986 0.013 9.207
S 1.986 7.887 6.209
S 0.000 5.158 4.512
S 1.986 3.245 2.042
S 1.986 2.703 6.251
S 0.000 5.669 0.213
S 0.000 8.359 3.169
Ni 0.000 7.372 5.214
Ni 1.986 1.000 11.253
Ac 1.986 6.299 2.390
Ac 0.000 2.073 8.428
Ac 1.986 6.366 10.118
Ac 0.000 2.006 4.079
Sc 0.000 3.019 0.239
Sc 1.986 5.353 6.277
CELL_PARAMETERS angstrom
3.973 0.000 0.000
-1.986 8.372 0.000
0.000 0.000 12.077
! DOS(E_F)   10.707 states/eV/cell
! E   -113.59 eV/cell
! ρ   5.9 g cm⁻³
! Formation energy from raw total energies   -1.76 eV per atom
! Spin magnetization   0.81 μB/f.u.

---

! Ac4NiSe2S (PBE-GGA, optimized geometry); values from VASP
&SYSTEM
  ibrav = 0, nat = 8, ntyp = 4
/
ATOMIC_SPECIES
Ac 227.00 Ac.upf
S 32.06 S.upf
Se 78.96 Se.upf
Ni 58.69 Ni.upf
ATOMIC_POSITIONS angstrom
Ac 2.140 1.238 1.791
Ac 0.000 5.026 1.739
Ac 0.000 -0.013 5.733
Ac 2.140 3.775 5.681
S 0.000 0.000 0.000
Se 2.140 -1.353 3.673
Se 0.000 2.507 3.736
Ni 2.140 3.860 0.063
CELL_PARAMETERS angstrom
4.281 0.000 0.000
0.000 7.720 0.127
0.000 -2.706 7.345
! DOS(E_F)   5.917 states/eV/cell
! E   -45.04 eV/cell
! ρ   7.9 g cm⁻³
! Formation energy from raw total energies   -1.47 eV per atom
! Spin magnetization   0.00 μB/f.u.

---

! Ac4NiSeS2 (PBE-GGA, optimized geometry); values from VASP
&SYSTEM
  ibrav = 0, nat = 8, ntyp = 4
/
ATOMIC_SPECIES
S 32.06 S.upf
Ac 227.00 Ac.upf
Se 78.96 Se.upf
Ni 58.69 Ni.upf
ATOMIC_POSITIONS angstrom
S 2.133 1.345 3.619
S 0.000 2.689 7.239
Ac 4.266 2.622 1.643
Ac 0.000 7.694 5.446
Ac 2.133 3.868 5.440
Ac 2.133 6.448 1.649
Se 0.000 5.158 3.545
Ni 2.133 6.503 7.164
CELL_PARAMETERS angstrom
4.266 0.000 0.000
0.000 7.627 -0.150
0.000 2.689 7.239
! DOS(E_F)   5.955 states/eV/cell
! E   -45.78 eV/cell
! ρ   7.8 g cm⁻³
! Formation energy from raw total energies   -1.48 eV per atom
! Spin magnetization   0.00 μB/f.u.

---

! Ac6NiSe3S2 (PBE-GGA, optimized geometry); values from VASP
&SYSTEM
  ibrav = 0, nat = 12, ntyp = 4
/
ATOMIC_SPECIES
Ac 227.00 Ac.upf
S 32.06 S.upf
Ni 58.69 Ni.upf
Se 78.96 Se.upf
ATOMIC_POSITIONS angstrom
Ac -2.813 -0.728 0.773
Ac -2.850 2.458 4.081
Ac -5.019 -1.343 4.828
Ac 0.856 0.023 2.883
Ac -1.350 -0.592 6.938
Ac -1.314 -3.779 3.630
S 1.544 -2.987 2.827
S -2.184 -3.750 0.684
Ni 0.000 0.000 0.000
Se -2.082 -0.660 3.855
Se 1.607 0.095 5.976
Se -5.770 -1.415 1.734
CELL_PARAMETERS angstrom
-5.936 -4.518 -1.474
5.295 -2.219 4.985
-3.523 5.416 4.199
! DOS(E_F)   7.009 states/eV/cell
! E   -68.71 eV/cell
! ρ   7.8 g cm⁻³
! Formation energy from raw total energies   -1.63 eV per atom
! Spin magnetization   0.00 μB/f.u.

---

! Ac6Ni2Se3S (PBE-GGA, optimized geometry); values from VASP
&SYSTEM
  ibrav = 0, nat = 12, ntyp = 4
/
ATOMIC_SPECIES
Ac 227.00 Ac.upf
Se 78.96 Se.upf
Ni 58.69 Ni.upf
S 32.06 S.upf
ATOMIC_POSITIONS angstrom
Ac 3.798 2.109 5.801
Ac -0.071 4.344 5.801
Ac 2.581 0.001 1.725
Ac -1.289 2.236 1.725
Ac 0.037 0.064 5.792
Ac 2.472 4.281 1.733
Se 5.071 -0.032 3.763
Se -2.562 4.377 3.763
Se 1.255 2.173 3.763
Ni 3.772 2.165 0.002
Ni -0.010 4.349 0.002
S 0.000 0.000 0.000
CELL_PARAMETERS angstrom
7.522 -0.001 0.002
-3.760 6.515 0.002
-1.252 -2.169 7.521
! DOS(E_F)   8.134 states/eV/cell
! E   -66.52 eV/cell
! ρ   7.9 g cm⁻³
! Formation energy from raw total energies   -1.31 eV per atom
! Spin magnetization   0.00 μB/f.u.

---

! Ac2TaNiS6 (PBE-GGA, optimized geometry); values from VASP
&SYSTEM
  ibrav = 0, nat = 20, ntyp = 4
/
ATOMIC_SPECIES
S 32.06 S.upf
Ac 227.00 Ac.upf
Ta 180.95 Ta.upf
Ni 58.69 Ni.upf
ATOMIC_POSITIONS angstrom
S 5.100 3.563 4.665
S 5.010 0.022 4.665
S 1.681 0.022 4.665
S 5.027 6.986 0.000
S 1.664 6.986 0.000
S 1.754 3.444 0.000
S 0.000 5.444 2.354
S 3.346 1.564 7.019
S 1.592 3.563 4.665
S 0.000 5.444 6.976
S 4.937 3.444 0.000
S 3.346 1.564 2.311
Ac 0.000 1.409 7.017
Ac 3.346 5.599 6.979
Ac 3.346 5.599 2.352
Ac 0.000 1.409 2.314
Ta 3.346 2.050 4.665
Ta 0.000 4.958 0.000
Ni 0.000 5.224 4.665
Ni 3.346 1.783 0.000
CELL_PARAMETERS angstrom
6.691 0.000 0.000
0.000 7.007 0.000
0.000 0.000 9.330
! DOS(E_F)   7.633 states/eV/cell
! E   -127.03 eV/cell
! ρ   6.7 g cm⁻³
! Formation energy from raw total energies   -1.29 eV per atom
! Spin magnetization   0.89 μB/f.u.

---

! Ac6Ni2Te3S (PBE-GGA, optimized geometry); values from VASP
&SYSTEM
  ibrav = 0, nat = 12, ntyp = 4
/
ATOMIC_SPECIES
Ac 227.00 Ac.upf
S 32.06 S.upf
Te 127.60 Te.upf
Ni 58.69 Ni.upf
ATOMIC_POSITIONS angstrom
Ac -1.724 -1.127 -2.367
Ac -5.572 -2.587 0.816
Ac -4.978 -5.092 -2.713
Ac -0.464 -2.524 1.805
Ac 0.130 -5.030 -1.724
Ac -3.718 -6.490 1.459
S 0.000 0.000 0.000
Te -2.721 -3.808 -0.454
Te -1.483 -5.182 3.647
Te -3.959 -2.435 -4.555
Ni 1.872 -3.993 0.545
Ni 0.644 -2.631 -3.523
CELL_PARAMETERS angstrom
-0.573 -1.281 -7.553
3.089 -5.343 4.575
-7.958 -0.993 2.070
! DOS(E_F)   7.381 states/eV/cell
! E   -63.38 eV/cell
! ρ   7.8 g cm⁻³
! Formation energy from raw total energies   -1.13 eV per atom
! Spin magnetization   0.00 μB/f.u.